First-principles (PBE) data for a relaxed Na5Dy3F12 crystal, as listed in Alexandria.

Cell: 11.556 11.556 11.556 Å, 109.47 109.47 109.47°
Sites, in units of the cell vectors:
Na 0.000 0.000 0.000
Na 0.000 0.000 0.500
Na 0.000 0.500 0.000
Na 0.000 0.500 0.500
Na 0.125 0.750 0.875
Na 0.125 0.875 0.250
Na 0.250 0.125 0.875
Na 0.250 0.625 0.375
Na 0.375 0.250 0.625
Na 0.375 0.625 0.750
Na 0.500 0.000 0.000
Na 0.500 0.000 0.500
Na 0.500 0.500 0.000
Na 0.500 0.500 0.500
Na 0.625 0.375 0.250
Na 0.625 0.750 0.375
Na 0.750 0.375 0.625
Na 0.750 0.875 0.125
Na 0.875 0.125 0.750
Na 0.875 0.250 0.125
Dy 0.125 0.250 0.375
Dy 0.125 0.375 0.750
Dy 0.250 0.375 0.125
Dy 0.250 0.875 0.625
Dy 0.375 0.125 0.250
Dy 0.375 0.750 0.125
Dy 0.625 0.250 0.875
Dy 0.625 0.875 0.750
Dy 0.750 0.125 0.375
Dy 0.750 0.625 0.875
Dy 0.875 0.625 0.250
Dy 0.875 0.750 0.625
F 0.062 0.230 0.138
F 0.062 0.331 0.924
F 0.076 0.638 0.407
F 0.076 0.938 0.669
F 0.093 0.730 0.669
F 0.093 0.862 0.424
F 0.138 0.062 0.230
F 0.138 0.576 0.907
F 0.169 0.230 0.593
F 0.169 0.438 0.576
F 0.230 0.138 0.062
F 0.230 0.593 0.169
F 0.270 0.331 0.907
F 0.270 0.438 0.362
F 0.331 0.907 0.270
F 0.331 0.924 0.062
F 0.362 0.270 0.438
F 0.362 0.593 0.924
F 0.407 0.076 0.638
F 0.407 0.831 0.770
F 0.424 0.093 0.862
F 0.424 0.831 0.562
F 0.438 0.362 0.270
F 0.438 0.576 0.169
F 0.562 0.424 0.831
F 0.562 0.638 0.730
F 0.576 0.169 0.438
F 0.576 0.907 0.138
F 0.593 0.169 0.230
F 0.593 0.924 0.362
F 0.638 0.407 0.076
F 0.638 0.730 0.562
F 0.669 0.076 0.938
F 0.669 0.093 0.730
F 0.730 0.562 0.638
F 0.730 0.669 0.093
F 0.770 0.407 0.831
F 0.770 0.862 0.938
F 0.831 0.562 0.424
F 0.831 0.770 0.407
F 0.862 0.424 0.093
F 0.862 0.938 0.770
F 0.907 0.138 0.576
F 0.907 0.270 0.331
F 0.924 0.062 0.331
F 0.924 0.362 0.593
F 0.938 0.669 0.076
F 0.938 0.770 0.862

Output
M_tot = 0.00 μB per atom
Crystal system = cubic
Formation energy without anion corrections = -3.106 eV per atom


First-principles (PBE) data for a relaxed Na2Dy2F7 crystal, as listed in Alexandria.

Cell: 5.543 5.543 5.751 Å, 90.00 90.00 94.51°
Sites, in units of the cell vectors:
Na 0.244 0.244 0.000
Na 0.756 0.756 0.000
Dy 0.230 0.770 0.500
Dy 0.770 0.230 0.500
F 0.000 0.000 0.276
F 0.000 0.000 0.724
F 0.000 0.500 0.276
F 0.000 0.500 0.724
F 0.500 0.000 0.276
F 0.500 0.000 0.724
F 0.500 0.500 0.500

Output
M_tot = 0.05 μB per atom
Crystal system = orthorhombic
Formation energy without anion corrections = -3.452 eV per atom


First-principles (PBE) data for a relaxed Na2DyF4 crystal, as listed in Alexandria.

Cell: 7.839 7.839 7.839 Å, 147.28 147.28 46.94°
Sites, in units of the cell vectors:
Na 0.191 0.191 0.000
Na 0.809 0.809 0.000
Dy 0.500 0.500 0.000
F 0.000 0.500 0.500
F 0.349 0.349 0.000
F 0.500 0.000 0.500
F 0.651 0.651 0.000

Output
M_tot = 0.00 μB per atom
Offset from the most stable computed form = 53 meV/atom
Crystal system = tetragonal
Formation energy without anion corrections = -2.979 eV per atom


First-principles (PBE) data for a relaxed Na2DyF4 crystal, as listed in Alexandria.

Cell: 5.907 10.592 3.664 Å, 90.00 90.00 90.00°
Sites, in units of the cell vectors:
Na 0.014 0.186 0.000
Na 0.486 0.686 0.000
Na 0.514 0.314 0.000
Na 0.986 0.814 0.000
Dy 0.000 0.500 0.500
Dy 0.500 0.000 0.500
F 0.142 0.402 0.000
F 0.183 0.683 0.500
F 0.317 0.183 0.500
F 0.358 0.902 0.000
F 0.642 0.098 0.000
F 0.683 0.817 0.500
F 0.817 0.317 0.500
F 0.858 0.598 0.000

Output
M_tot = 0.00 μB per atom
Offset from the most stable computed form = 0 meV/atom
Crystal system = orthorhombic
Formation energy without anion corrections = -3.032 eV per atom